[1]
Entry from the Alexandria database: a relaxed CaMoPb crystal (PBE). Values from VASP.

## Properties
The calculation puts the spin magnetization at 3.44 μB per formula unit. The calculated formation energy comes out at 758 meV per atom. The energy above the most stable polymorph in this dataset comes out at 0.280 eV per atom.

```
&SYSTEM
  ibrav = 0, nat = 3, ntyp = 3
/
ATOMIC_SPECIES
Pb 207.20 Pb.upf
Mo 95.94 Mo.upf
Ca 40.08 Ca.upf
CELL_PARAMETERS angstrom
4.9704 0.0000 0.0000
2.4852 4.3045 0.0000
2.4852 1.4348 4.0583
ATOMIC_POSITIONS crystal
Pb 0.0000 0.0000 0.0000
Mo 0.7500 0.7500 0.7500
Ca 0.5000 0.5000 0.5000
```



[2]
Entry from the Alexandria database: a relaxed Ce2Pm3Y6Tm crystal (PBE). Values from VASP.

## Properties
The calculation puts the spin magnetization at 1.92 μB per formula unit. The calculated formation energy comes out at 46 meV per atom.

```
&SYSTEM
  ibrav = 0, nat = 12, ntyp = 4
/
ATOMIC_SPECIES
Ce 140.12 Ce.upf
Pm 145.00 Pm.upf
Y 88.91 Y.upf
Tm 168.93 Tm.upf
CELL_PARAMETERS angstrom
-6.1838 0.1971 0.3929
3.2808 -3.0510 4.2849
1.6797 10.6577 4.8099
ATOMIC_POSITIONS crystal
Ce 0.3337 0.6663 0.0000
Ce 0.6663 0.3337 0.0000
Pm 0.1661 0.8339 0.5000
Pm 0.8339 0.1661 0.5000
Pm 0.5000 0.5000 0.5000
Y 0.9177 0.5828 0.7540
Y 0.7474 0.7474 0.2463
Y 0.0823 0.4172 0.2460
Y 0.5828 0.9177 0.7540
Y 0.2526 0.2526 0.7537
Y 0.4172 0.0823 0.2460
Tm 0.0000 0.0000 0.0000
```



[3]
Entry from the Alexandria database: a relaxed ZnTe2 crystal (PBE). Values from VASP.

## Properties
The value obtained for the formation energy from raw total energies is 0.08 eV/atom. The calculation puts the spin magnetization at 0.00 μB per formula unit.

```
&SYSTEM
  ibrav = 0, nat = 6, ntyp = 2
/
ATOMIC_SPECIES
Zn 65.41 Zn.upf
Te 127.60 Te.upf
CELL_PARAMETERS angstrom
1.9824 -10.4958 0.0000
1.9824 10.4958 0.0000
0.0000 0.0000 3.8870
ATOMIC_POSITIONS crystal
Zn 0.1116 0.8884 0.7500
Zn 0.8884 0.1116 0.2500
Te 0.4337 0.5663 0.7500
Te 0.5663 0.4337 0.2500
Te 0.7898 0.2102 0.7500
Te 0.2102 0.7898 0.2500
```



[4]
Entry from the Alexandria database: a relaxed Pa2ZnCd crystal (PBE). Values from VASP.

## Properties
The calculation puts the spin magnetization at 0.01 μB per formula unit. The calculated formation energy comes out at 95 meV per atom. The energy above the most stable polymorph in this dataset comes out at 0.032 eV per atom.

```
&SYSTEM
  ibrav = 0, nat = 4, ntyp = 3
/
ATOMIC_SPECIES
Zn 65.41 Zn.upf
Pa 231.04 Pa.upf
Cd 112.41 Cd.upf
CELL_PARAMETERS angstrom
-0.0613 -2.2230 -4.2611
-0.6767 -3.7601 1.9714
-4.2452 0.6250 -0.2650
ATOMIC_POSITIONS crystal
Zn 0.5000 0.0000 0.0000
Pa 0.0000 0.0000 0.5000
Pa 0.0000 0.5000 0.0000
Cd 0.5000 0.5000 0.5000
```



[5]
Entry from the Alexandria database: a relaxed LaMgTe2 crystal (PBE). Values from VASP.

## Properties
The value obtained for the formation energy from raw total energies is -1.15 eV/atom. The calculation puts the spin magnetization at 0.93 μB per formula unit.

```
&SYSTEM
  ibrav = 0, nat = 4, ntyp = 3
/
ATOMIC_SPECIES
La 138.91 La.upf
Mg 24.30 Mg.upf
Te 127.60 Te.upf
CELL_PARAMETERS angstrom
-2.2095 -3.1915 1.8789
1.0763 -4.1063 -0.7601
4.4052 -2.2709 6.2721
ATOMIC_POSITIONS crystal
La 0.5007 0.5007 0.4978
Mg 0.6672 0.6672 0.9985
Te 0.0721 0.0721 0.7836
Te 0.2600 0.2600 0.2201
```



[6]
Entry from the Alexandria database: a relaxed FeTc2Hg crystal (PBE). Values from VASP.

## Properties
The calculation puts the spin magnetization at 2.54 μB per formula unit. The calculated formation energy comes out at 523 meV per atom.

```
&SYSTEM
  ibrav = 0, nat = 4, ntyp = 3
/
ATOMIC_SPECIES
Fe 55.84 Fe.upf
Hg 200.59 Hg.upf
Tc 98.00 Tc.upf
CELL_PARAMETERS angstrom
-1.0398 2.0412 1.6725
-3.8020 0.3403 -2.7790
-4.7181 -2.9384 0.6528
ATOMIC_POSITIONS crystal
Fe 0.5000 0.5000 0.5000
Hg 0.0000 0.0000 0.5000
Tc 0.0000 0.0000 0.0000
Tc 0.5000 0.5000 0.0000
```



[7]
Entry from the Alexandria database: a relaxed AcDyY6Er2 crystal (PBE). Values from VASP.

## Properties
The calculation puts the spin magnetization at 0.00 μB per formula unit. The calculated formation energy comes out at 128 meV per atom.

```
&SYSTEM
  ibrav = 0, nat = 20, ntyp = 4
/
ATOMIC_SPECIES
Ac 227.00 Ac.upf
Dy 162.50 Dy.upf
Y 88.91 Y.upf
Er 167.26 Er.upf
CELL_PARAMETERS angstrom
9.1118 -1.9237 -1.9964
0.9645 8.6379 -2.0073
0.9645 -2.3261 8.5575
ATOMIC_POSITIONS crystal
Ac 0.2500 0.9680 0.0320
Ac 0.7500 0.0320 0.9680
Dy 0.2500 0.4131 0.5869
Dy 0.7500 0.5869 0.4131
Y 0.0575 0.1256 0.7549
Y 0.4425 0.2451 0.8744
Y 0.9425 0.8744 0.2451
Y 0.5575 0.7549 0.1256
Y 0.3196 0.9901 0.4468
Y 0.1804 0.5532 0.0099
Y 0.6804 0.0099 0.5532
Y 0.8196 0.4468 0.9901
Y 0.1127 0.7112 0.4869
Y 0.3873 0.5131 0.2888
Y 0.8873 0.2888 0.5131
Y 0.6127 0.4869 0.7112
Er 0.4483 0.7974 0.6861
Er 0.0517 0.3139 0.2026
Er 0.5517 0.2026 0.3139
Er 0.9483 0.6861 0.7974
```



[8]
Entry from the Alexandria database: a relaxed Ac2NiTe crystal (PBE). Values from VASP.

## Properties
The value obtained for the formation energy from raw total energies is -0.81 eV/atom. The calculation puts the spin magnetization at 0.00 μB per formula unit. The energy above the most stable polymorph in this dataset comes out at 0.027 eV per atom.

```
&SYSTEM
  ibrav = 0, nat = 4, ntyp = 3
/
ATOMIC_SPECIES
Ac 227.00 Ac.upf
Ni 58.69 Ni.upf
Te 127.60 Te.upf
CELL_PARAMETERS angstrom
4.3753 0.0000 0.0000
2.1876 3.7891 0.0000
2.1876 1.2630 8.1031
ATOMIC_POSITIONS crystal
Ac 0.0689 0.0689 0.7934
Ac 0.2644 0.2644 0.2069
Ni 0.6674 0.6674 0.9977
Te 0.4993 0.4993 0.5020
```



no.,N(E_F) (states/eV per atom),theoretical density (g cm⁻³)
1,0.774,6.56
2,1.750,6.08
3,0.622,6.58
4,1.654,11.96
5,0.228,5.68
6,1.128,12.22
7,1.608,6.22
8,0.259,7.91